# Sr2TaMo PBE-GGA optimized geometry
data_Sr2TaMo
_cell_length_a 3.531
_cell_length_b 3.531
_cell_length_c 9.594
_cell_angle_alpha 90.00
_cell_angle_beta 90.00
_cell_angle_gamma 90.00
_symmetry_space_group_name_H-M 'P 4 m m'
_symmetry_Int_Tables_number 99
_symmetry_space_group_name_Hall 'P 4 -2'
loop_
_atom_site_label
_atom_site_fract_x
_atom_site_fract_y
_atom_site_fract_z
_atom_site_occupancy
Sr1 0.000 0.000 0.000 1
Sr2 0.500 0.500 0.388 1
Ta1 0.000 0.000 0.648 1
Mo1 0.500 0.500 0.754 1
# Theoretical density = 6.28 Mg/m³
# VASP energy = -6.0389 eV/atom